First-principles (PBE-GGA) data for a geometry-optimized YBeCo3 structure, as listed in Alexandria.

Unit cell a=4.059 b=4.059 c=4.059 alpha=90.00 beta=90.00 gamma=90.00
Space group Pm-3m (No. 221)
Inequivalent atoms, fractional coordinates:
Y1 0.000 0.000 0.000 x1
Be1 0.500 0.500 0.500 x1
Co1 0.000 0.500 0.500 x3

Computed properties:
Total moment: 1.90 μB/cell
Electronic total energy: -6.278 eV/atom
ρ: 6820 kg/m³